{"formula": "ScSnTeF2", "functional": "SCAN", "state": "PBEsol geometry", "n_ef_per_ev_cell": 3.01, "sg": "P4/mmm", "crystal_system": "tetragonal", "raw_formation_energy_ev_per_atom": -0.93, "cell": [[4.314, 0.000, 0.000], [0.000, 4.314, 0.000], [0.000, 0.000, 5.920]], "species": ["Sc", "Sn", "Te", "F", "F"], "frac_coords": [[0.000, 0.000, 0.000], [0.500, 0.500, 0.000], [0.000, 0.000, 0.500], [0.000, 0.500, 0.500], [0.500, 0.000, 0.500]]}

=====

{"formula": "Sr2ScF7", "functional": "SCAN", "state": "PBEsol geometry", "n_ef_per_ev_cell": 0.00, "sg": "P2_1/c", "crystal_system": "monoclinic", "raw_formation_energy_ev_per_atom": -4.23, "cell": [[5.418, 0.000, 0.000], [0.000, 12.125, 0.000], [-0.075, 0.000, 8.190]], "species": ["Sr", "Sr", "Sr", "Sr", "Sr", "Sr", "Sr", "Sr", "Sc", "Sc", "Sc", "Sc", "F", "F", "F", "F", "F", "F", "F", "F", "F", "F", "F", "F", "F", "F", "F", "F", "F", "F", "F", "F", "F", "F", "F", "F", "F", "F", "F", "F"], "frac_coords": [[0.236, 0.062, 0.324], [0.236, 0.438, 0.824], [0.236, 0.720, 0.446], [0.236, 0.780, 0.946], [0.764, 0.220, 0.054], [0.764, 0.280, 0.554], [0.764, 0.562, 0.176], [0.764, 0.938, 0.676], [0.276, 0.125, 0.786], [0.276, 0.375, 0.286], [0.724, 0.625, 0.714], [0.724, 0.875, 0.214], [0.015, 0.105, 0.591], [0.015, 0.245, 0.305], [0.015, 0.255, 0.805], [0.015, 0.395, 0.091], [0.201, 0.539, 0.289], [0.201, 0.961, 0.789], [0.204, 0.137, 0.028], [0.204, 0.363, 0.528], [0.382, 0.573, 0.627], [0.382, 0.927, 0.127], [0.491, 0.105, 0.576], [0.491, 0.231, 0.297], [0.491, 0.269, 0.797], [0.491, 0.395, 0.076], [0.509, 0.605, 0.924], [0.509, 0.731, 0.203], [0.509, 0.769, 0.703], [0.509, 0.895, 0.424], [0.618, 0.073, 0.873], [0.618, 0.427, 0.373], [0.796, 0.637, 0.472], [0.796, 0.863, 0.972], [0.799, 0.039, 0.211], [0.799, 0.461, 0.711], [0.985, 0.605, 0.909], [0.985, 0.745, 0.195], [0.985, 0.755, 0.695], [0.985, 0.895, 0.409]]}